The following is a PBE-GGA calculation of Tb7MgZn4 after structural relaxation, from Alexandria via LeMat-Bulk.

Unit cell a=5.615 b=8.673 c=7.520 alpha=69.15 beta=68.08 gamma=71.11
Atoms (fractional coordinates):
Tb 0.193 0.120 0.493
Tb 0.807 0.880 0.507
Tb 0.076 0.590 0.259
Tb 0.924 0.410 0.741
Tb 0.273 0.684 0.770
Tb 0.500 0.000 0.000
Tb 0.727 0.316 0.230
Mg 0.000 0.000 0.000
Zn 0.683 0.662 0.973
Zn 0.526 0.305 0.643
Zn 0.474 0.695 0.357
Zn 0.317 0.338 0.027

Summary:
As for the energy relative to the elements: -41 meV per atom. The density of states at the Fermi level comes out at 12.0 states/eV/cell. The calculation puts the density at 7.5 Mg/m³.


The following is a PBE-GGA calculation of AlFePb3 after structural relaxation, from Alexandria via LeMat-Bulk.

Unit cell a=5.403 b=5.403 c=5.403 alpha=90.00 beta=90.00 gamma=90.00
Atoms (fractional coordinates):
Fe 0.500 0.500 0.500
Al 0.000 0.000 0.000
Pb 0.000 0.500 0.000
Pb 0.000 0.000 0.500
Pb 0.500 0.000 0.000

Summary:
As for the excess energy over the best structure of this formula in the dataset: 0.520 eV per atom. As for the energy relative to the elements: 989 meV per atom. The density of states at the Fermi level comes out at 7.8 states/eV/cell. The calculation puts the density at 7.4 Mg/m³.


The following is a PBE-GGA calculation of Ac4SmTe5 after structural relaxation, from Alexandria via LeMat-Bulk.

Unit cell a=4.680 b=4.680 c=19.226 alpha=83.01 beta=83.01 gamma=60.00
Atoms (fractional coordinates):
Sm 0.500 0.500 0.500
Ac 0.103 0.103 0.690
Ac 0.701 0.701 0.897
Ac 0.897 0.897 0.310
Ac 0.299 0.299 0.103
Te 0.804 0.804 0.588
Te 0.402 0.402 0.794
Te 0.598 0.598 0.206
Te 0.000 0.000 0.000
Te 0.196 0.196 0.412

Summary:
The value obtained for the uncorrected formation energy is -1.466 eV per atom. The density of states at the Fermi level comes out at 6.3 states/eV/cell. The calculation puts the density at 7.8 Mg/m³.